Here is a geometry-optimized Dy8Pd2Ru structure from Alexandria. Energies are from PBE-GGA.

Results
Energy of formation (eV/atom): -0.32
Offset from the most stable computed form (meV/atom): 89
Symmetry: Cm (8)

Unit cell a=5.886 b=7.746 c=7.746 alpha=116.18 beta=100.85 gamma=100.85
Positions (direct):
Dy: 0.379 0.667 0.913
Dy: 0.169 0.362 0.362
Pd: 0.495 0.704 0.309
Dy: 0.990 0.793 0.207
Dy: 0.583 0.091 0.336
Dy: 0.583 0.336 0.091
Dy: 0.818 0.646 0.646
Dy: 0.379 0.913 0.667
Pd: 0.495 0.309 0.704
Ru: 0.116 0.006 0.006
Dy: 0.990 0.207 0.793



Here is a geometry-optimized Na2AgHRu structure from Alexandria. Energies are from PBE-GGA.

Results
Symmetry: P4/mmm (123)

Unit cell a=5.641 b=3.249 c=5.641 alpha=90.00 beta=90.00 gamma=90.00
Last column: magnetic moment on the atom in μB.
Positions (direct):
Ru: 0.000 0.000 0.000  1.47
Na: 0.000 0.000 0.500  -0.01
H: 0.000 0.500 0.000  -0.01
Ag: 0.500 0.500 0.500  0.01
Na: 0.500 0.000 0.000  -0.01



Here is a geometry-optimized DyYS2O structure from Alexandria. Energies are from PBE-GGA.

Results
Uncorrected formation energy (kJ/mol of atoms): -245.1
Symmetry: P4/nmm (129)

Unit cell a=3.868 b=3.868 c=13.896 alpha=90.00 beta=90.00 gamma=90.00
Positions (direct):
S: 0.500 0.000 0.910
O: 0.500 0.500 0.500
S: 0.000 0.500 0.090
S: 0.500 0.000 0.306
S: 0.000 0.500 0.694
Dy: 0.000 0.500 0.418
Y: 0.000 0.500 0.874
Y: 0.500 0.000 0.126
Dy: 0.500 0.000 0.582
O: 0.000 0.000 0.500



E (computed, eV/atom): -5.46; -2.99; -7.40
Calculated volume (computed, Å³ per atom): 26.9; 20.7; 20.8